Here is a relaxed structure of CaCuPt from the Alexandria database. Energies are from GGA-PBE.

```
CaCuPt
1.0
-2.2094 -1.1516 -4.6899
-5.3880 -5.2160 0.8123
-5.7174 4.3394 -1.3788
Ca Cu Pt
4 4 4
Direct
0.4954 0.7527 0.2565
0.2481 0.2473 0.2565
0.7519 0.7527 0.7435
0.5046 0.2473 0.7435
0.8497 0.0000 0.3005
0.8998 0.2004 0.0000
0.1002 0.7996 0.0000
0.1503 0.0000 0.6995
0.0041 0.6413 0.3505
0.6454 0.3587 0.3505
0.3546 0.6413 0.6495
0.9959 0.3587 0.6495
```

energy relative to the elements	-0.2890	eV/atom

Here is a relaxed structure of CdPbAu2 from the Alexandria database. Energies are from GGA-PBE.

```
CdPbAu2
1.0
5.5249 -0.0278 0.0000
2.0923 5.1135 0.0000
-3.8086 -2.5428 3.0909
Pb Au Cd
1 2 1
Direct
0.7500 0.2500 0.5000
0.0000 0.0000 0.0000
0.2500 0.7500 0.5000
0.5000 0.5000 0.0000
```

energy relative to the elements	-0.0112	eV/atom

Here is a relaxed structure of Al3NiBi from the Alexandria database. Energies are from GGA-PBE.

```
Al3NiBi
1.0
4.6362 0.0000 0.0000
0.0000 4.6362 0.0000
0.0000 0.0000 4.6362
Ni Bi Al
1 1 3
Direct
0.0000 0.0000 0.0000
0.5000 0.5000 0.5000
0.0000 0.5000 0.0000
0.0000 0.0000 0.5000
0.5000 0.0000 0.0000
```

energy relative to the elements	0.0107	eV/atom

Here is a relaxed structure of CsInGa3 from the Alexandria database. Energies are from GGA-PBE.

```
CsInGa3
1.0
-3.2607 1.9600 4.7106
-3.8111 -4.6525 -0.7022
3.3922 -3.3431 3.7391
Cs Ga In
1 3 1
Direct
0.0000 0.0000 0.0000
0.0000 0.5000 0.0000
0.0000 0.0000 0.5000
0.5000 0.0000 0.0000
0.5000 0.5000 0.5000
```

energy relative to the elements	1.1512	eV/atom

Here is a relaxed structure of SrCu3Ge2 from the Alexandria database. Energies are from GGA-PBE.

```
SrCu3Ge2
1.0
4.1314 0.0000 0.0000
-2.0657 7.9199 0.3032
0.0000 -3.2649 6.5366
Sr Cu Ge
2 6 4
Direct
0.8480 0.6960 0.9263
0.1520 0.3040 0.0737
0.3115 0.6229 0.5462
0.9701 0.9402 0.6317
0.5872 0.1744 0.6459
0.4128 0.8256 0.3541
0.0299 0.0598 0.3683
0.6885 0.3771 0.4538
0.4770 0.9541 0.8073
0.5230 0.0459 0.1927
0.8163 0.6327 0.3408
0.1837 0.3673 0.6592
```

energy relative to the elements	-0.2576	eV/atom

Here is a relaxed structure of KBaCa2Ge from the Alexandria database. Energies are from GGA-PBE.

```
KBaCa2Ge
1.0
-4.5083 2.8246 2.6725
0.1972 -3.9204 4.4763
4.3242 3.8728 3.2014
K Ge Ca Ba
1 1 2 1
Direct
0.5000 0.5000 0.5000
0.0000 0.0000 0.0000
0.0000 0.5000 0.0000
0.5000 0.0000 0.0000
0.0000 0.0000 0.5000
```

energy relative to the elements	-0.1753	eV/atom

Here is a relaxed structure of ZrZn3Rh from the Alexandria database. Energies are from GGA-PBE.

```
ZrZn3Rh
1.0
-0.9933 4.2506 -1.5489
-4.5203 -0.9965 0.1644
-0.1824 1.5469 4.3620
Zn Rh Zr
3 1 1
Direct
0.0000 0.5000 0.0000
0.0000 0.0000 0.5000
0.5000 0.0000 0.0000
0.0000 0.0000 0.0000
0.5000 0.5000 0.5000
```

energy relative to the elements	0.2296	eV/atom

Here is a relaxed structure of NaLiRu3 from the Alexandria database. Energies are from GGA-PBE.

```
NaLiRu3
1.0
4.6593 0.0000 0.0000
0.0000 4.6593 0.0000
0.0000 0.0000 4.6593
Ru Li Na
3 1 1
Direct
0.0000 0.5000 0.0000
0.0000 0.0000 0.5000
0.5000 0.0000 0.0000
0.5000 0.5000 0.5000
0.0000 0.0000 0.0000
```

energy relative to the elements	2.2534	eV/atom

Here is a relaxed structure of Cs5ZnCl8 from the Alexandria database. Energies are from GGA-PBE.

```
Cs5ZnCl8
1.0
-8.9468 -2.0622 1.2022
5.2325 -6.8530 -3.3764
1.9447 2.5691 8.6811
Cs Zn Cl
5 1 8
Direct
0.0240 0.4086 0.1524
0.8476 0.8717 0.2562
0.7438 0.5914 0.6155
0.5000 0.0000 0.5000
0.3846 0.1283 0.9760
0.2500 0.5000 0.7500
0.1170 0.6546 0.8704
0.1296 0.2466 0.7842
0.7009 0.1912 0.2915
0.7085 0.4094 0.8997
0.4903 0.5906 0.2991
0.5376 0.7534 0.8830
0.2158 0.3454 0.4624
0.1003 0.8088 0.5097
```

ΔE_f (raw)	-1.571	eV per atom

Here is a relaxed structure of Pa2AgHgO8 from the Alexandria database. Energies are from GGA-PBE.

```
Pa2AgHgO8
1.0
5.4544 0.0000 0.0000
0.0000 5.4544 0.0000
-2.7272 -2.7272 5.4236
Pa Ag Hg O
2 1 1 8
Direct
0.5000 0.5000 0.0000
0.2500 0.7500 0.5000
0.0000 0.0000 0.0000
0.7500 0.2500 0.5000
0.8766 0.8553 0.2471
0.3705 0.3918 0.2471
0.6081 0.6293 0.7528
0.1447 0.1235 0.7528
0.8765 0.3919 0.2472
0.3707 0.8553 0.2472
0.1447 0.6295 0.7529
0.6082 0.1234 0.7529
```

ΔE_f (raw)	-1.907	eV per atom

Here is a relaxed structure of SmHfIn2 from the Alexandria database. Energies are from GGA-PBE.

```
SmHfIn2
1.0
-2.3454 3.8075 0.0988
-2.1928 -1.2481 -3.9528
-3.3372 -2.1210 2.5210
Hf Sm In
1 1 2
Direct
0.5000 0.5000 0.5000
0.5000 0.0000 0.0000
0.0000 0.0000 0.5000
0.0000 0.5000 0.0000
```

energy relative to the elements	-0.2121	eV/atom

Here is a relaxed structure of Ca3Tb2ThSe6 from the Alexandria database. Energies are from GGA-PBE.

```
Ca3Tb2ThSe6
1.0
-1.1883 -3.9145 0.3932
7.4429 -1.9116 3.4619
-4.7546 4.2889 6.8518
Ca Tb Th Se
3 2 1 6
Direct
0.5000 0.5000 0.0000
0.8348 0.1693 0.6696
0.1652 0.8307 0.3304
0.8379 0.6768 0.6758
0.1621 0.3232 0.3242
0.5000 0.0000 0.0000
0.3298 0.9160 0.6597
0.6699 0.5777 0.3398
0.6702 0.0840 0.3403
0.9992 0.2581 0.9985
0.0008 0.7419 0.0015
0.3301 0.4223 0.6602
```

ΔE_f (raw)	-1.814	eV per atom

Here is a relaxed structure of Tb2UCo2 from the Alexandria database. Energies are from GGA-PBE.

```
Tb2UCo2
1.0
5.9397 0.1545 0.8401
2.7471 5.2685 0.8401
0.1605 0.1002 6.7968
Tb U Co
4 2 4
Direct
0.4554 0.2429 0.1438
0.7571 0.5446 0.3562
0.5446 0.7571 0.8562
0.2429 0.4554 0.6438
0.0687 0.9313 0.2500
0.9313 0.0687 0.7500
0.7269 0.9852 0.5143
0.0148 0.2731 0.9857
0.2731 0.0148 0.4857
0.9852 0.7269 0.0143
```

energy relative to the elements	-0.2113	eV/atom

Here is a relaxed structure of LaTbTm3 from the Alexandria database. Energies are from GGA-PBE.

```
LaTbTm3
1.0
3.6588 0.0013 0.0000
-1.8347 8.3121 0.0000
0.0000 0.0000 11.4976
La Tb Tm
2 2 6
Direct
0.3087 0.1175 0.2500
0.6913 0.8825 0.7500
0.9850 0.4667 0.2500
0.0150 0.5333 0.7500
0.8447 0.1894 0.9959
0.1553 0.8106 0.0041
0.8447 0.1894 0.5041
0.1553 0.8106 0.4959
0.6457 0.7904 0.2500
0.3543 0.2096 0.7500
```

energy relative to the elements	0.3405	eV/atom

no.,V (Å³/cell),energy (eV per formula unit)
1,255.32,-13.0
2,87.50,-11.2
3,99.65,-20.8
4,222.00,-6.9
5,217.97,-24.8
6,234.98,-12.5
7,99.36,-18.6
8,101.15,-19.8
9,594.05,-42.3
10,161.35,-84.7
11,98.36,-21.0
12,306.24,-65.4
13,208.85,-35.8
14,349.70,-21.3